Entry 1:
First-principles (GGA-PBE) data for crystalline CePuO3 at its relaxed geometry, as listed in the Alexandria database.

Output
The final energy comes out at -401.99 eV per cell. The uncorrected formation energy is -1457.7 kJ/mol of formula units. The density of states at the Fermi level comes out at 68.4 states/eV per cell.

a b c (Å): 9.057 8.459 8.354
angles (deg): 90.00 90.00 90.00
Space group Cmcm (No. 63)
Symmetry-distinct sites (fractional):
Ce 0.000 0.021 0.250
Ce 0.000 0.476 0.250
Pu 0.250 0.250 0.000
O 0.000 0.168 0.560
O 0.155 0.246 0.250
O 0.157 0.500 0.000



Entry 2:
First-principles (GGA-PBE) data for crystalline Ho3P4Rh7 at its relaxed geometry, as listed in the Alexandria database.

Output
The final energy comes out at -204.15 eV per cell. The density of states at the Fermi level comes out at 16.7 states/eV per cell.

a b c (Å): 14.937 3.940 9.143
angles (deg): 90.00 124.47 90.00
Space group C2/m (No. 12)
Symmetry-distinct sites (fractional):
Ho 0.000 0.000 0.000
Ho 0.170 0.500 0.667
P 0.109 0.000 0.827
P 0.167 0.500 0.274
Rh 0.000 0.000 0.500
Rh 0.006 0.500 0.269
Rh 0.168 0.000 0.420
Rh 0.199 0.500 0.047



Entry 3:
First-principles (GGA-PBE) data for crystalline PuUIr4 at its relaxed geometry, as listed in the Alexandria database.

Output
The final energy comes out at -257.91 eV per cell. The density of states at the Fermi level comes out at 52.3 states/eV per cell.

a b c (Å): 7.556 7.556 7.556
angles (deg): 90.00 90.00 90.00
Space group F-43m (No. 216)
Symmetry-distinct sites (fractional):
Pu 0.000 0.000 0.000
U 0.250 0.250 0.250
Ir 0.125 0.125 0.625



Q: Which V values were calculated for the entries above? A: 80.00, 221.79, 107.87, in Å³/f.u..